{"formula": "Cd2SbPb", "functional": "GGA-PBE", "state": "optimized geometry", "cell": [[0.000, 3.795, 3.795], [3.795, 0.000, 3.795], [3.795, 3.795, 0.000]], "species": ["Cd", "Cd", "Sb", "Pb"], "frac_coords": [[0.000, 0.000, 0.000], [0.250, 0.250, 0.250], [0.500, 0.500, 0.500], [0.750, 0.750, 0.750]], "total_energy_ev_per_atom": -2.32, "e_form_raw_ev_per_atom": 0.098, "crystal_system": "cubic", "sg": "F-43m, No. 216"}

{"formula": "CaPrAs2O8", "functional": "GGA-PBE", "state": "optimized geometry", "cell": [[-2.588, 2.588, 5.896], [2.588, -2.588, 5.896], [2.588, 2.588, -5.896]], "species": ["Ca", "Pr", "As", "As", "O", "O", "O", "O", "O", "O", "O", "O"], "frac_coords": [[0.000, 0.000, 0.000], [0.750, 0.250, 0.500], [0.250, 0.750, 0.500], [0.500, 0.500, 0.000], [0.038, 0.921, 0.614], [0.079, 0.693, 0.117], [0.175, 0.285, 0.615], [0.307, 0.424, 0.386], [0.441, 0.825, 0.111], [0.576, 0.962, 0.883], [0.670, 0.559, 0.385], [0.715, 0.330, 0.889]], "total_energy_ev_per_atom": -6.66, "e_form_raw_ev_per_atom": -2.017, "crystal_system": "tetragonal", "sg": "I-4, No. 82"}

{"formula": "TbCeIrI", "functional": "GGA-PBE", "state": "optimized geometry", "cell": [[2.066, 1.193, 8.047], [-2.066, 1.193, 8.047], [0.000, -2.386, 8.047]], "species": ["Tb", "Ce", "Ir", "I"], "frac_coords": [[0.000, 0.000, 0.000], [0.212, 0.212, 0.212], [0.605, 0.605, 0.605], [0.773, 0.773, 0.773]], "total_energy_ev_per_atom": -6.18, "e_form_raw_ev_per_atom": -0.938, "crystal_system": "trigonal", "sg": "R3m, No. 160"}

{"formula": "CsBaLi3", "functional": "GGA-PBE", "state": "optimized geometry", "cell": [[6.230, 0.000, 0.000], [0.000, 6.230, 0.000], [0.000, 0.000, 6.230]], "species": ["Cs", "Ba", "Li", "Li", "Li"], "frac_coords": [[0.000, 0.000, 0.000], [0.500, 0.500, 0.500], [0.000, 0.000, 0.500], [0.000, 0.500, 0.000], [0.500, 0.000, 0.000]], "e_form_ev_per_atom": 0.557, "total_energy_ev_per_atom": -1.15, "crystal_system": "cubic", "sg": "Pm-3m, No. 221"}